First-principles (PBE+U) data for a geometry-optimized TlV2PbF structure, as listed in Alexandria via LeMat-Bulk.

abc: 5.434 5.760 5.434
angles: 90.00 90.00 90.00
Site moments in Bohr magnetons follow the coordinates.
Atoms (fractional coordinates):
Pb 0.000 0.500 0.000  -0.04
Tl 0.000 0.000 0.000  -0.01
F 0.500 0.500 0.500  0.00
V 0.000 0.000 0.500  3.16
V 0.500 0.000 0.000  2.88

total energy = -0.1304 Ha/atom
D(E_F) = 2.5 states/eV/f.u.